1.
Nd3Cu2Pt after structural relaxation, computed with PBE-GGA.

a = 12.1098 Å, b = 4.4073 Å, c = 11.1773 Å
α = 90.00°, β = 90.00°, γ = 90.00°
With the nearest neighbours (Å) after each atom.
Space group Pnma (No. 62)
Asymmetric unit:
Nd (0.0532, 0.2500, 0.1254) (multiplicity 4)  1 Pt 2.95, 4 Cu 3.02-3.07
Nd (0.1129, 0.7500, 0.5655) (multiplicity 4)  3 Pt 2.97-3.05, 5 Cu 3.06-3.24
Nd (0.2222, 0.2500, 0.8031) (multiplicity 4)  2 Pt 2.99, 4 Cu 3.13-3.24
Cu (0.0160, 0.7500, 0.3053) (multiplicity 4)  2 Pt 2.70, 2 Nd 3.02
Cu (0.1968, 0.7500, 0.0132) (multiplicity 4)  1 Pt 2.63
Pt (0.1262, 0.2500, 0.3771) (multiplicity 4)  3 Cu 2.63-2.70

2.
Ce2BeAlPt6 after structural relaxation, computed with PBE-GGA.

a = 5.7295 Å, b = 5.7295 Å, c = 19.6956 Å
α = 90.00°, β = 90.00°, γ = 120.00°
With the nearest neighbours (Å) after each atom.
Space group R-3m (No. 166, hexagonal axes)
Asymmetric unit:
Ce (0.0000, 0.0000, 0.2160) (multiplicity 6)  9 Pt 3.02-3.35
Be (0.0000, 0.0000, 0.0000) (multiplicity 3)  6 Pt 2.18
Al (0.0000, 0.0000, 0.5000) (multiplicity 3)  6 Pt 2.50
Pt (0.0091, 0.5045, 0.2638) (multiplicity 18)  1 Be 2.18

| no. | calculated density (g cm⁻³) | total DFT energy (no corrections) (eV for the cell shown) | DOS at the Fermi energy (states/eV/f.u.) |
| --- | --- | --- | --- |
| 1 | 8.41 | -124.79 | 6.4 |
| 2 | 13.23 | -193.37 | 12.9 |